PrHgTe2: optimized geometry, PBE.

Computed properties:
For the formation energy (no corrections), the calculation gives -3.09 eV/f.u. The value obtained for the magnetization is 0.00 μB per formula unit. The value obtained for the energy above the lowest structure with this stoichiometry is 0.01 eV per formula unit. As for the density of states at the Fermi level: 2.76 states/eV/f.u. As for the crystal system: trigonal.

Cell and atoms, written as CIF:
```
data_PrHgTe2
_chemical_formula_sum 'Pr3 Hg3 Te6'
_cell_length_a 4.6562
_cell_length_b 4.6562
_cell_length_c 27.9041
_cell_angle_alpha 90.00
_cell_angle_beta 90.00
_cell_angle_gamma 120.00
_space_group_name_H-M_alt 'P 32 2 1'
_space_group_IT_number 154
_space_group_name_Hall 'P 32 2"'
loop_
_atom_site_label
_atom_site_fract_x
_atom_site_fract_y
_atom_site_fract_z
_atom_site_occupancy
Pr1 0.0000 0.6710 0.3333 1
Hg1 0.0000 0.6637 0.8333 1
Te1 0.0043 0.6669 0.7288 1
```